! PBE+U BaVCu4P4O17, optimized geometry; values from VASP
&SYSTEM
  ibrav = 0, nat = 54, ntyp = 5
/
ATOMIC_SPECIES
Ba 137.33 Ba.upf
V 50.94 V.upf
Cu 63.55 Cu.upf
P 30.97 P.upf
O 16.00 O.upf
ATOMIC_POSITIONS crystal
Ba 0.000 0.000 0.000
Ba 0.500 0.500 0.000
V 0.000 0.500 0.027
V 0.500 0.000 0.973
Cu 0.017 0.267 0.596
Cu 0.233 0.517 0.596
Cu 0.267 0.017 0.404
Cu 0.483 0.767 0.404
Cu 0.517 0.233 0.404
Cu 0.733 0.983 0.404
Cu 0.767 0.483 0.596
Cu 0.983 0.733 0.596
P 0.188 0.722 0.264
P 0.222 0.312 0.264
P 0.278 0.812 0.736
P 0.312 0.222 0.736
P 0.688 0.778 0.736
P 0.722 0.188 0.736
P 0.778 0.688 0.264
P 0.812 0.278 0.264
O 0.000 0.500 0.799
O 0.101 0.669 0.103
O 0.120 0.840 0.729
O 0.133 0.654 0.447
O 0.154 0.367 0.447
O 0.158 0.183 0.754
O 0.160 0.880 0.271
O 0.169 0.399 0.103
O 0.183 0.158 0.246
O 0.317 0.658 0.754
O 0.331 0.899 0.897
O 0.340 0.380 0.729
O 0.342 0.683 0.246
O 0.346 0.867 0.553
O 0.367 0.154 0.553
O 0.380 0.340 0.271
O 0.399 0.169 0.897
O 0.500 0.000 0.201
O 0.601 0.831 0.897
O 0.620 0.660 0.271
O 0.633 0.846 0.553
O 0.654 0.133 0.553
O 0.658 0.317 0.246
O 0.660 0.620 0.729
O 0.669 0.101 0.897
O 0.683 0.342 0.754
O 0.817 0.842 0.246
O 0.831 0.601 0.103
O 0.840 0.120 0.271
O 0.842 0.817 0.754
O 0.846 0.633 0.447
O 0.867 0.346 0.447
O 0.880 0.160 0.729
O 0.899 0.331 0.103
CELL_PARAMETERS angstrom
9.677 0.000 0.000
0.000 9.677 0.000
0.000 0.000 7.338
! - SG: P42_12 (90)
! - E: -6.718 eV per atom